Here is a relaxed CrCoB2Pb crystal from Alexandria. Energies are from PBE.

abc: 4.428 4.428 4.826
angles: 90.00 90.00 90.00
Positions (direct):
Cr 0.000 0.000 0.000
Co 0.500 0.500 0.000
B 0.000 0.500 0.500
B 0.500 0.000 0.500
Pb 0.500 0.500 0.500

## Properties
E   -3.914 eV/atom
Energy of formation   2.844 eV/atom
Space group   P4/mmm
Total magnetic moment   1.4 μB per formula unit

Here is a relaxed CrCo2BPd crystal from Alexandria. Energies are from PBE.

abc: 4.124 4.124 3.909
angles: 90.00 90.00 90.00
Positions (direct):
Cr 0.000 0.000 0.000
Co 0.000 0.500 0.000
Co 0.500 0.000 0.000
B 0.000 0.000 0.500
Pd 0.500 0.500 0.500

## Properties
E   -5.987 eV/atom
Energy of formation   1.154 eV/atom
Space group   P4/mmm
Total magnetic moment   1.2 μB per formula unit

Here is a relaxed CrCo2SnB crystal from Alexandria. Energies are from PBE.

abc: 3.853 3.853 4.502
angles: 90.00 90.00 90.00
Positions (direct):
Cr 0.000 0.000 0.000
Co 0.000 0.500 0.500
Co 0.500 0.000 0.500
Sn 0.500 0.500 0.000
B 0.500 0.500 0.500

## Properties
E   -6.435 eV/atom
Energy of formation   0.468 eV/atom
Space group   P4/mmm
Total magnetic moment   2.1 μB per formula unit

Here is a relaxed SrCrCoB2 crystal from Alexandria. Energies are from PBE.

abc: 4.567 4.567 4.647
angles: 90.00 90.00 90.00
Positions (direct):
Sr 0.000 0.000 0.000
Cr 0.500 0.500 0.500
Co 0.000 0.000 0.500
B 0.000 0.500 0.000
B 0.500 0.000 0.000

## Properties
E   -3.167 eV/atom
Energy of formation   3.186 eV/atom
Space group   P4/mmm
Total magnetic moment   1.5 μB per formula unit

Here is a relaxed Cr2CoTcB crystal from Alexandria. Energies are from PBE.

abc: 3.864 3.864 4.010
angles: 90.00 90.00 90.00
Positions (direct):
Cr 0.000 0.500 0.000
Cr 0.500 0.000 0.000
Co 0.000 0.000 0.500
Tc 0.500 0.500 0.500
B 0.500 0.500 0.000

## Properties
E   -8.340 eV/atom
Energy of formation   0.339 eV/atom
Space group   P4/mmm
Total magnetic moment   0.0 μB per formula unit

Here is a relaxed Cs2CoB crystal from Alexandria. Energies are from PBE.

abc: 8.017 8.017 8.017
angles: 90.00 90.00 90.00
Positions (direct):
Cs 0.250 0.250 0.250
Cs 0.250 0.250 0.750
Cs 0.250 0.750 0.250
Cs 0.250 0.750 0.750
Cs 0.750 0.250 0.250
Cs 0.750 0.250 0.750
Cs 0.750 0.750 0.250
Cs 0.750 0.750 0.750
Co 0.000 0.000 0.000
Co 0.000 0.500 0.500
Co 0.500 0.000 0.500
Co 0.500 0.500 0.000
B 0.000 0.000 0.500
B 0.000 0.500 0.000
B 0.500 0.000 0.000
B 0.500 0.500 0.500

## Properties
E   -2.094 eV/atom
Energy of formation   1.778 eV/atom
Space group   Fm-3m
Total magnetic moment   0.0 μB per formula unit

Here is a relaxed CsCoB2 crystal from Alexandria. Energies are from PBE.

abc: 6.090 6.090 6.090
angles: 60.00 60.00 60.00
Positions (direct):
Cs 0.125 0.125 0.125
Cs 0.875 0.875 0.875
Co 0.375 0.375 0.375
Co 0.625 0.625 0.625
B 0.000 0.500 0.500
B 0.500 0.000 0.500
B 0.500 0.500 0.000
B 0.500 0.500 0.500

## Properties
E   -4.802 eV/atom
Energy of formation   0.527 eV/atom
Space group   Fd-3m
Total magnetic moment   0.0 μB per formula unit

Here is a relaxed CsCoB3 crystal from Alexandria. Energies are from PBE.

abc: 4.687 4.687 4.687
angles: 90.00 90.00 90.00
Positions (direct):
Cs 0.000 0.000 0.000
Co 0.500 0.500 0.500
B 0.000 0.000 0.500
B 0.000 0.500 0.000
B 0.500 0.000 0.000

## Properties
E   -1.692 eV/atom
Energy of formation   3.906 eV/atom
Space group   Pm-3m
Total magnetic moment   0.1 μB per formula unit
Energy above the lowest structure with this stoichiometry   2688.9 meV/atom

Here is a relaxed CsCoB3 crystal from Alexandria. Energies are from PBE.

abc: 4.114 4.114 4.114
angles: 90.00 90.00 90.00
Positions (direct):
Cs 0.000 0.000 0.000
Co 0.500 0.500 0.500
B 0.000 0.500 0.500
B 0.500 0.000 0.500
B 0.500 0.500 0.000

## Properties
E   -4.381 eV/atom
Energy of formation   1.217 eV/atom
Space group   Pm-3m
Total magnetic moment   0.0 μB per formula unit
Energy above the lowest structure with this stoichiometry   0.0 meV/atom

Here is a relaxed CsLaCoB2 crystal from Alexandria. Energies are from PBE.

abc: 4.232 4.232 5.175
angles: 90.00 90.00 90.00
Positions (direct):
Cs 0.000 0.000 0.000
La 0.500 0.500 0.000
Co 0.000 0.000 0.500
B 0.000 0.500 0.500
B 0.500 0.000 0.500

## Properties
E   -4.067 eV/atom
Energy of formation   1.181 eV/atom
Space group   P4/mmm
Total magnetic moment   1.0 μB per formula unit

Here is a relaxed CsCo2BPb crystal from Alexandria. Energies are from PBE.

abc: 4.368 4.368 5.584
angles: 90.00 90.00 90.00
Positions (direct):
Cs 0.000 0.000 0.000
Co 0.000 0.500 0.500
Co 0.500 0.000 0.500
B 0.000 0.000 0.500
Pb 0.500 0.500 0.000

## Properties
E   -3.784 eV/atom
Energy of formation   1.307 eV/atom
Space group   P4/mmm
Total magnetic moment   2.5 μB per formula unit

Here is a relaxed CsYCo2B crystal from Alexandria. Energies are from PBE.

abc: 4.121 4.121 5.234
angles: 90.00 90.00 90.00
Positions (direct):
Cs 0.000 0.000 0.000
Y 0.500 0.500 0.000
Co 0.000 0.500 0.500
Co 0.500 0.000 0.500
B 0.000 0.000 0.500

## Properties
E   -4.595 eV/atom
Energy of formation   1.047 eV/atom
Space group   P4/mmm
Total magnetic moment   0.0 μB per formula unit

- The lowest energy of formation belongs to which entry?
  Cr2CoTcB

- Which value of total magnetic moment does entry 10 give?
  1.0 μB per formula unit